[1]
Computed, not measured: a relaxed structure of LiNpTeS at the PBE level of DFT.

Unit cell a=4.480 b=4.480 c=9.636 alpha=90.00 beta=90.00 gamma=90.00
Each line ends with the local moment (μB).
Atoms (fractional coordinates):
Li  0.500  0.500  0.000  0.00
Li  0.000  0.000  0.000  0.00
Np  0.500  0.000  0.654  3.96
Np  0.000  0.500  0.346  3.96
Te  0.000  0.500  0.825  -0.05
Te  0.500  0.000  0.175  -0.05
S  0.000  0.000  0.500  -0.12
S  0.500  0.500  0.500  -0.12

Symmetry: No. 129
Formation energy from raw total energies (eV per atom): -1.01
Magnetic moment (μB per cell): 8.0



[2]
Computed, not measured: a relaxed structure of CaZnSe2O8 at the PBE level of DFT.

Unit cell a=4.972 b=4.972 c=7.775 alpha=71.35 beta=71.35 gamma=60.00
Atoms (fractional coordinates):
Ca  0.500  0.500  0.500
Zn  0.000  0.000  0.000
Se  0.253  0.253  0.242
Se  0.747  0.747  0.758
O  0.175  0.175  0.474
O  0.595  0.281  0.178
O  0.825  0.825  0.526
O  0.946  0.595  0.178
O  0.054  0.405  0.822
O  0.281  0.946  0.178
O  0.719  0.054  0.822
O  0.405  0.719  0.822

Symmetry: No. 148
Formation energy from raw total energies (eV per atom): -1.16
Magnetic moment (μB per cell): 0.0



[3]
Computed, not measured: a relaxed structure of BePd2WS at the PBE level of DFT.

Unit cell a=4.625 b=3.769 c=4.625 alpha=90.00 beta=90.00 gamma=90.00
Each line ends with the local moment (μB).
Atoms (fractional coordinates):
Be  0.000  0.500  0.000  0.00
S  0.000  0.000  0.000  0.04
Pd  0.000  0.000  0.500  0.11
Pd  0.500  0.000  0.000  0.07
W  0.500  0.500  0.500  1.87

Symmetry: No. 123
Formation energy from raw total energies (eV per atom): 0.81
Magnetic moment (μB per cell): 2.6



[4]
Computed, not measured: a relaxed structure of Hf2CdSn2 at the PBE level of DFT.

Unit cell a=7.802 b=7.802 c=3.792 alpha=90.00 beta=90.00 gamma=90.00
Atoms (fractional coordinates):
Hf  0.150  0.650  0.500
Hf  0.650  0.850  0.500
Hf  0.850  0.350  0.500
Hf  0.350  0.150  0.500
Sn  0.352  0.852  0.000
Sn  0.852  0.648  0.000
Sn  0.648  0.148  0.000
Sn  0.148  0.352  0.000
Cd  0.000  0.000  0.000
Cd  0.500  0.500  0.000

Energy of formation (eV/atom): -0.038
Symmetry: No. 127
Relative energy among the computed polymorphs (eV/atom): 0.029
Magnetic moment (μB per cell): 0.0



[5]
Computed, not measured: a relaxed structure of Sm2Er8Pb at the PBE level of DFT.

Unit cell a=5.298 b=6.950 c=9.664 alpha=95.98 beta=105.91 gamma=90.00
Atoms (fractional coordinates):
Sm  0.780  0.337  0.560
Sm  0.220  0.663  0.440
Er  0.407  0.570  0.815
Er  0.660  0.907  0.320
Er  0.842  0.825  0.683
Er  0.962  0.264  0.925
Er  0.158  0.175  0.317
Er  0.340  0.093  0.680
Er  0.593  0.430  0.185
Er  0.038  0.736  0.075
Pb  0.500  0.000  0.000

Energy of formation (eV/atom): -0.040
Symmetry: No. 12
Magnetic moment (μB per cell): 0.0



[6]
Computed, not measured: a relaxed structure of VReRh2 at the PBE level of DFT.

Unit cell a=3.841 b=3.825 c=3.825 alpha=90.00 beta=90.00 gamma=90.00
Atoms (fractional coordinates):
Re  0.500  0.000  0.000
Rh  0.000  0.000  0.500
Rh  0.000  0.500  0.000
V  0.500  0.500  0.500

Energy of formation (eV/atom): -0.254
Symmetry: No. 123
Relative energy among the computed polymorphs (eV/atom): 0.000
Magnetic moment (μB per cell): 0.0